Record 1
The following is a DFT calculation (PBE-GGA) of a geometry-optimized SrLi2BrN structure.

Its total energy is -79.29 eV for the cell shown. Its volume is 388.5 Å³ per cell. The value obtained for the energy relative to the elements, uncorrected is -863.2 meV per atom.

The structure belongs to space group Cmcm (No. 63); the cell edges are 3.8196, 13.5437 and 7.5096 Å and the angles 90.00°, 90.00° and 90.00°. Symmetry generates all atoms from Sr at (0.0000, 0.0212, 0.2500), Li at (0.0000, 0.3625, 0.0436), Br at (0.0000, 0.2339, 0.7500) and N at (0.0000, 0.5000, 0.0000).


Record 2
The following is a DFT calculation (PBE-GGA) of a geometry-optimized UMoAs2 structure.

Its total energy is -63.71 eV for the cell shown. Its volume is 166.8 Å³ per cell. The formation energy is -0.11 eV per atom.

The structure belongs to space group I-4m2 (No. 119); the cell edges are 3.4994, 3.4994 and 13.6219 Å and the angles 90.00°, 90.00° and 90.00°. Symmetry generates all atoms from U at (0.0000, 0.0000, 0.0000), Mo at (0.0000, 0.5000, 0.7500) and As at (0.0000, 0.0000, 0.3768).


Record 3
The following is a DFT calculation (PBE-GGA) of a geometry-optimized ZrHgS2 structure.

Its total energy is -84.22 eV for the cell shown. Its volume is 370.2 Å³ per cell. The value obtained for the energy relative to the elements, uncorrected is -987.7 meV per atom.

The structure belongs to space group Cmcm (No. 63); the cell edges are 3.4035, 28.3153 and 3.8409 Å and the angles 90.00°, 90.00° and 90.00°. Symmetry generates all atoms from Zr at (0.0000, 0.1858, 0.2500), Hg at (0.0000, 0.4588, 0.2500), S at (0.0000, 0.2840, 0.2500) and S at (0.0000, 0.3795, 0.7500).


Record 4
The following is a DFT calculation (PBE-GGA) of a geometry-optimized Ag3Au7 structure.

Its total energy is -60.59 eV for the cell shown. Its volume is 383.9 Å³ per cell. The formation energy is 0.12 eV per atom.

The structure belongs to space group P6_3mc (No. 186); the cell edges are 9.2580, 9.2580 and 5.1725 Å and the angles 90.00°, 90.00° and 120.00°. Symmetry generates all atoms from Ag at (0.2019, 0.4038, 0.0000), Au at (0.0543, 0.5272, 0.3532), Au at (0.1082, 0.2165, 0.4825) and Au at (0.3333, 0.6667, 0.6588).


Record 5
The following is a DFT calculation (PBE-GGA) of a geometry-optimized Li2HoBr4 structure.

Its total energy is -49.67 eV for the cell shown. Its volume is 464.2 Å³ per cell. The value obtained for the energy relative to the elements, uncorrected is -1391.5 meV per atom.

The structure belongs to space group I4/m (No. 87); the cell edges are 8.1201, 8.1201 and 7.0397 Å and the angles 90.00°, 90.00° and 90.00°. Symmetry generates all atoms from Li at (0.0000, 0.5000, 0.2500), Ho at (0.0000, 0.0000, 0.0000) and Br at (0.1415, 0.3138, 0.0000).


Record 6
The following is a DFT calculation (PBE-GGA) of a geometry-optimized KZr2As structure.

Its total energy is -82.51 eV for the cell shown. Its volume is 384.8 Å³ per cell. The formation energy is 0.55 eV per atom.

The structure belongs to space group F-43m (No. 216); the cell edges are 7.2732, 7.2732 and 7.2732 Å and the angles 90.00°, 90.00° and 90.00°. Symmetry generates all atoms from K at (0.0000, 0.0000, 0.0000), Zr at (0.0000, 0.0000, 0.5000), Zr at (0.2500, 0.2500, 0.2500) and As at (0.2500, 0.2500, 0.7500).


Record 7
The following is a DFT calculation (PBE-GGA) of a geometry-optimized Co2AgRuW structure.

Its total energy is -29.16 eV for the cell shown. Its volume is 90.8 Å³ per cell. The formation energy is 2.03 eV per atom.

The structure belongs to space group P4/mmm (No. 123); the cell edges are 4.3032, 4.3032 and 4.9024 Å and the angles 90.00°, 90.00° and 90.00°. Symmetry generates all atoms from Co at (0.0000, 0.5000, 0.0000), Ag at (0.0000, 0.0000, 0.5000), Ru at (0.0000, 0.0000, 0.0000) and W at (0.5000, 0.5000, 0.5000).


Record 8
The following is a DFT calculation (PBE-GGA) of a geometry-optimized Pr2PuAs3Rh4 structure.

Its total energy is -75.99 eV for the cell shown. Its volume is 197.7 Å³ per cell. The formation energy is -0.87 eV per atom.

The structure belongs to space group P-4m2 (No. 115); the cell edges are 4.1784, 4.1784 and 11.3241 Å and the angles 90.00°, 90.00° and 90.00°. Symmetry generates all atoms from Pr at (0.0000, 0.5000, 0.2258), Pu at (0.0000, 0.0000, 0.5000), As at (0.0000, 0.5000, 0.8724), As at (0.5000, 0.5000, 0.5000), Rh at (0.0000, 0.0000, 0.0000), Rh at (0.0000, 0.5000, 0.6562) and Rh at (0.5000, 0.5000, 0.0000).